Density functional theory data (GGA-PBE) for a relaxed BeSnMo2 crystal.

Its total moment is 0.00 μB/cell. The offset from the most stable computed form comes out at 0.0 meV/atom. The value obtained for the total energy is -109.9 eV/cell. The calculated formation energy is 0.478 eV/atom.

The structure belongs to space group Fm-3m (No. 225); the cell edges are 6.296, 6.296 and 6.296 Å and the angles 90.00°, 90.00° and 90.00°. The asymmetric unit holds Be at (0.000, 0.000, 0.000), Sn at (0.000, 0.000, 0.500) and Mo at (0.250, 0.250, 0.250).

Density functional theory data (GGA-PBE) for a relaxed Nd3DyEr crystal.

Its total moment is 0.00 μB/cell. The offset from the most stable computed form comes out at 6.4 meV/atom. The value obtained for the total energy is -180.9 eV/cell. The calculated formation energy is 0.171 eV/atom.

The structure belongs to space group C2/c (No. 15); the cell edges are 12.871, 16.987 and 6.876 Å and the angles 90.00°, 113.99° and 90.00°. The asymmetric unit holds Nd at (0.109, 0.147, 0.046), Nd at (0.168, 0.482, 0.584), Nd at (0.184, 0.168, 0.588), Dy at (0.000, 0.009, 0.250), Dy at (0.000, 0.321, 0.250) and Er at (0.131, 0.322, 0.879).

Density functional theory data (GGA-PBE) for a relaxed In2HgBr crystal.

Its total moment is 0.00 μB/cell. The offset from the most stable computed form comes out at 28.5 meV/atom. The value obtained for the uncorrected formation energy is -92.9 kJ/mol of formula units. The value obtained for the total energy is -16.8 eV/cell.

The structure belongs to space group C2/m (No. 12); the cell edges are 7.925, 7.908 and 3.678 Å and the angles 90.00°, 90.19° and 90.00°. The asymmetric unit holds In at (0.250, 0.250, 0.000), Hg at (0.000, 0.000, 0.500) and Br at (0.000, 0.500, 0.500).

Density functional theory data (GGA-PBE) for a relaxed Pr5Y7 crystal.

Its total moment is 0.00 μB/cell. The offset from the most stable computed form comes out at 0.0 meV/atom. The value obtained for the total energy is -138.3 eV/cell. The calculated formation energy is 0.002 eV/atom.

The structure belongs to space group C2/m (No. 12); the cell edges are 18.908, 3.652 and 13.342 Å and the angles 90.00°, 118.22° and 90.00°. The asymmetric unit holds Pr at (0.000, 0.000, 0.000), Pr at (0.166, 0.000, 0.498), Pr at (0.194, 0.500, 0.750), Y at (0.000, 0.500, 0.500), Y at (0.027, 0.000, 0.751), Y at (0.138, 0.500, 0.248) and Y at (0.166, 0.500, 0.997).

Density functional theory data (GGA-PBE) for a relaxed TbThTe2N crystal.

Its total moment is 0.00 μB/cell. The value obtained for the uncorrected formation energy is -742.4 kJ/mol of formula units. The value obtained for the total energy is -68.7 eV/cell.

The structure belongs to space group P4/nmm (No. 129, origin choice 2); the cell edges are 4.224, 4.224 and 15.919 Å and the angles 90.00°, 90.00° and 90.00°. The asymmetric unit holds Tb at (0.250, 0.250, 0.128), Th at (0.250, 0.250, 0.569), Te at (0.250, 0.250, 0.310), Te at (0.250, 0.250, 0.916) and N at (0.250, 0.750, 0.500).

Density functional theory data (GGA-PBE) for a relaxed AlTlZnIr2 crystal.

Its total moment is 0.00 μB/cell. The value obtained for the total energy is -19.4 eV/cell. The calculated formation energy is 1.143 eV/atom.

The structure belongs to space group P4/mmm (No. 123); the cell edges are 4.661, 4.661 and 4.767 Å and the angles 90.00°, 90.00° and 90.00°. The asymmetric unit holds Al at (0.000, 0.000, 0.000), Tl at (0.500, 0.500, 0.000), Zn at (0.500, 0.500, 0.500) and Ir at (0.000, 0.500, 0.500).